(i)
Material: PbSeSCl2
Method: DFT, PBE-GGA
State: optimized geometry

Structure (POSCAR):
```
PbSeSCl2
1.0
-2.350 2.631 3.902
3.502 -1.936 3.414
3.041 3.988 -0.858
Cl Se S Pb
2 1 1 1
direct
0.500 0.000 0.000 Cl
0.000 0.500 0.000 Cl
0.000 0.000 0.000 Se
0.000 0.000 0.500 S
0.500 0.500 0.500 Pb
```

Calculated values
space group = P4/mmm (123)
volume = 28.159 A^3/atom
total magnetic moment = 0.0 μB/cell
crystal system = tetragonal
N(E_F) = 0.725 states/eV per atom

---

(ii)
Material: PbSeSCl2
Method: DFT, PBE-GGA
State: optimized geometry

Structure (POSCAR):
```
PbSeSCl2
1.0
5.480 0.000 0.000
0.000 5.480 0.000
0.000 0.000 5.497
S Pb Se Cl
1 1 1 2
direct
0.000 0.000 0.500 S
0.000 0.000 0.000 Pb
0.500 0.500 0.500 Se
0.000 0.500 0.000 Cl
0.500 0.000 0.000 Cl
```

Calculated values
space group = P4/mmm (123)
volume = 33.017 A^3/atom
total magnetic moment = 3.2 μB/cell
crystal system = tetragonal
N(E_F) = 0.673 states/eV per atom

---

The data favor (i); the next most stable structure lies 240 meV per atom above it.

---

(i)
Material: SiPbSCl2
Method: DFT, PBE-GGA
State: optimized geometry

Structure (POSCAR):
```
SiPbSCl2
1.0
-2.314 0.948 4.901
1.711 -4.924 1.761
4.726 2.283 1.790
Si S Cl Pb
1 1 2 1
direct
0.500 0.500 0.500 Si
0.000 0.000 0.500 S
0.000 0.500 0.000 Cl
0.500 0.000 0.000 Cl
0.000 0.000 0.000 Pb
```

Calculated values
space group = P4/mmm (123)
volume = 33.569 A^3/atom
total magnetic moment = 0.5 μB/cell
crystal system = tetragonal
N(E_F) = 0.684 states/eV per atom

---

(ii)
Material: SiPbSCl2
Method: DFT, PBE-GGA
State: optimized geometry

Structure (POSCAR):
```
SiPbSCl2
1.0
4.957 0.000 0.000
0.000 4.957 0.000
0.000 0.000 4.994
Pb Si Cl S
1 1 2 1
direct
0.500 0.500 0.500 Pb
0.000 0.000 0.000 Si
0.000 0.500 0.000 Cl
0.500 0.000 0.000 Cl
0.000 0.000 0.500 S
```

Calculated values
space group = P4/mmm (123)
volume = 24.538 A^3/atom
total magnetic moment = 0.0 μB/cell
crystal system = tetragonal
N(E_F) = 0.350 states/eV per atom

---

The data favor (ii); the next most stable structure lies 644 meV per atom above it.